Entry 1:
VASP calculation (PBE) on CaPAu2 after structural relaxation.

a b c (Å): 4.5082 4.5082 14.2428
angles (deg): 90.00 90.00 120.00
Space group R3m (No. 160, hexagonal axes)
Asymmetric unit:
Ca: 0.0000 0.0000 0.0000 [3 per cell]
P: 0.0000 0.0000 0.7962 [3 per cell]
Au: 0.0000 0.0000 0.2237 [3 per cell]
Au: 0.0000 0.0000 0.4464 [3 per cell]



Entry 2:
VASP calculation (PBE) on CaP2Au2 after structural relaxation.

a b c (Å): 7.592 7.592 3.414
angles (deg): 90.00 90.00 90.00
Space group P4/mbm (No. 127)
Asymmetric unit:
Ca: 0.000 0.000 0.000 [2 per cell]
P: 0.197 0.303 0.500 [4 per cell]
Au: 0.127 0.627 0.000 [4 per cell]



Entry 3:
VASP calculation (PBE) on CaPAu2 after structural relaxation.

a b c (Å): 10.121 4.353 4.358
angles (deg): 90.00 111.67 90.00
Space group Cm (No. 8)
Asymmetric unit:
Ca: 0.000 0.000 0.000 [2 per cell]
P: 0.250 0.000 0.756 [2 per cell]
Au: 0.148 0.500 0.630 [2 per cell]
Au: 0.354 0.000 0.343 [2 per cell]



Entry 4:
VASP calculation (PBE) on Ca2PAu after structural relaxation.

a b c (Å): 4.2768 4.2768 20.5267
angles (deg): 90.00 90.00 120.00
Space group R-3m (No. 166, hexagonal axes)
Asymmetric unit:
Ca: 0.0000 0.0000 0.2360 [6 per cell]
P: 0.0000 0.0000 0.5000 [3 per cell]
Au: 0.0000 0.0000 0.0000 [3 per cell]



Entry 5:
VASP calculation (PBE) on CaP2Au after structural relaxation.

- Energy relative to the lowest polymorph listed for this composition: 258.8 meV/atom

a b c (Å): 3.9862 3.9862 17.7659
angles (deg): 90.00 90.00 120.00
Space group R-3m (No. 166, hexagonal axes)
Asymmetric unit:
Ca: 0.0000 0.0000 0.0000 [3 per cell]
P: 0.0000 0.0000 0.2331 [6 per cell]
Au: 0.0000 0.0000 0.5000 [3 per cell]



Entry 6:
VASP calculation (PBE) on CaPPd2Au after structural relaxation.

a b c (Å): 4.629 4.629 4.736
angles (deg): 90.00 90.00 90.00
Space group P4/mmm (No. 123)
Asymmetric unit:
Ca: 0.000 0.000 0.000 [1 per cell]
P: 0.500 0.500 0.500 [1 per cell]
Pd: 0.000 0.500 0.500 [2 per cell]
Au: 0.500 0.500 0.000 [1 per cell]



Number 1: energy of formation from the pure elements -0.429 eV per atom. Number 2: energy of formation from the pure elements -0.121 eV per atom. Number 3: energy of formation from the pure elements -0.593 eV per atom. Number 4: energy of formation from the pure elements -0.917 eV per atom. Number 5: energy of formation from the pure elements -0.276 eV per atom. Number 6: energy of formation from the pure elements -0.572 eV per atom.